1.
{
  "formula": "Li2Be2O3",
  "functional": "PBE",
  "state": "optimized geometry",
  "raw_formation_energy_ev_per_atom": -2.3587,
  "spacegroup": "C2/c (15)",
  "cell": [[4.5008, 0.0518, 1.7120], [2.1814, 6.6341, 1.0043], [-0.0450, 0.1933, 7.0526]],
  "species": ["Li", "Li", "Li", "Li", "Li", "Li", "Li", "Li", "Be", "Be", "Be", "Be", "Be", "Be", "Be", "Be", "O", "O", "O", "O", "O", "O", "O", "O", "O", "O", "O", "O"],
  "frac_coords": [[0.9423, 0.0005, 0.1758], [0.4423, 0.1758, 0.0005], [0.7500, 0.2840, 0.7160], [0.7500, 0.5756, 0.4244], [0.2500, 0.4244, 0.5756], [0.2500, 0.7160, 0.2840], [0.5577, 0.8242, 0.9995], [0.0577, 0.9995, 0.8242], [0.6238, 0.3655, 0.2148], [0.6040, 0.0823, 0.5547], [0.1238, 0.2148, 0.3655], [0.1040, 0.5547, 0.0823], [0.8960, 0.4453, 0.9177], [0.8762, 0.7852, 0.6345], [0.3960, 0.9177, 0.4453], [0.3762, 0.6345, 0.7852], [0.7325, 0.2722, 0.4262], [0.7360, 0.5697, 0.1369], [0.2325, 0.4262, 0.2722], [0.2360, 0.1369, 0.5697], [0.8124, 0.2389, 0.0070], [0.1876, 0.7611, 0.9930], [0.7640, 0.8631, 0.4303], [0.7675, 0.5738, 0.7278], [0.3124, 0.0070, 0.2389], [0.2640, 0.4303, 0.8631], [0.2675, 0.7278, 0.5738], [0.6876, 0.9930, 0.7611]]
}

=====

2.
{
  "formula": "CeSi2OsW",
  "functional": "PBE",
  "state": "optimized geometry",
  "raw_formation_energy_ev_per_atom": -0.4466,
  "spacegroup": "I-4m2 (119)",
  "cell": [[-1.9873, 2.2463, 2.7909], [2.7052, -1.1515, 2.8530], [2.6609, 3.6015, -4.0109]],
  "species": ["Ce", "Si", "Si", "Os", "W"],
  "frac_coords": [[0.0000, 0.0000, 0.0000], [0.6166, 0.6166, 0.2332], [0.3834, 0.3834, 0.7668], [0.7500, 0.2500, 0.5000], [0.2500, 0.7500, 0.5000]]
}

=====

3.
{
  "formula": "Ba2TiPt2",
  "functional": "PBE",
  "state": "optimized geometry",
  "ef_mev_per_atom": -354,
  "spacegroup": "P4/mbm (127)",
  "cell": [[7.0570, 0.0000, 0.0000], [0.0000, 7.0570, 0.0000], [0.0000, 0.0000, 5.2924]],
  "species": ["Ba", "Ba", "Ba", "Ba", "Pt", "Pt", "Pt", "Pt", "Ti", "Ti"],
  "frac_coords": [[0.1729, 0.6729, 0.5000], [0.6729, 0.8271, 0.5000], [0.8271, 0.3271, 0.5000], [0.3271, 0.1729, 0.5000], [0.3575, 0.8575, 0.0000], [0.8575, 0.6425, 0.0000], [0.6425, 0.1425, 0.0000], [0.1425, 0.3575, 0.0000], [0.0000, 0.0000, 0.0000], [0.5000, 0.5000, 0.0000]]
}

=====

4.
{
  "formula": "Tb8Ag2Rh",
  "functional": "PBE",
  "state": "optimized geometry",
  "ef_mev_per_atom": -249,
  "spacegroup": "C2/m (12)",
  "cell": [[-3.8252, -2.4548, 2.5950], [-3.1834, -1.2888, -5.9117], [7.2708, -5.5262, 0.2123]],
  "species": ["Tb", "Tb", "Tb", "Tb", "Tb", "Tb", "Tb", "Tb", "Ag", "Ag", "Rh"],
  "frac_coords": [[0.4105, 0.5644, 0.8211], [0.6591, 0.9713, 0.3182], [0.7999, 0.6890, 0.5998], [0.9728, 0.2124, 0.9456], [0.2001, 0.3110, 0.4002], [0.3409, 0.0287, 0.6818], [0.5895, 0.4356, 0.1789], [0.0272, 0.7876, 0.0544], [0.8153, 0.2784, 0.6306], [0.1847, 0.7216, 0.3694], [0.5000, 0.0000, 0.0000]]
}

=====

5.
{
  "formula": "LiPaBi2",
  "functional": "PBE",
  "state": "optimized geometry",
  "ef_mev_per_atom": -182,
  "spacegroup": "R-3m (166)",
  "relative_energy_ev_per_atom": 0.080,
  "cell": [[4.5709, 0.0000, 0.0000], [2.2854, 3.9585, 0.0000], [2.2854, 1.3195, 6.6162]],
  "species": ["Pa", "Bi", "Bi", "Li"],
  "frac_coords": [[0.0000, 0.0000, 0.0000], [0.2483, 0.2483, 0.2550], [0.7517, 0.7517, 0.7450], [0.5000, 0.5000, 0.5000]]
}

=====

6.
{
  "formula": "LiSm3Zn",
  "functional": "PBE",
  "state": "optimized geometry",
  "ef_mev_per_atom": -88,
  "spacegroup": "Cmcm (63)",
  "cell": [[-5.0863, 0.9548, -0.2531], [-0.9693, -5.1001, 0.2392], [-2.9354, 1.0171, 9.7927]],
  "species": ["Li", "Li", "Sm", "Sm", "Sm", "Sm", "Sm", "Sm", "Zn", "Zn"],
  "frac_coords": [[0.4805, 0.7500, 0.6873], [0.1678, 0.2500, 0.3127], [0.7589, 0.2500, 0.1306], [0.3877, 0.2500, 0.8730], [0.5742, 0.2500, 0.5000], [0.2607, 0.7500, 0.1270], [0.8895, 0.7500, 0.8694], [0.0742, 0.7500, 0.5000], [0.6653, 0.7500, 0.3178], [0.9831, 0.2500, 0.6822]]
}

=====

7.
{
  "formula": "Ba3Mg2Tl3",
  "functional": "PBE",
  "state": "optimized geometry",
  "ef_mev_per_atom": -280,
  "spacegroup": "Pnma (62)",
  "cell": [[-1.1745, 4.9298, -4.4970], [-8.8463, -3.8932, -1.9573], [-7.1684, 9.8942, 12.7187]],
  "species": ["Ba", "Ba", "Ba", "Ba", "Ba", "Ba", "Ba", "Ba", "Ba", "Ba", "Ba", "Ba", "Mg", "Mg", "Mg", "Mg", "Mg", "Mg", "Mg", "Mg", "Tl", "Tl", "Tl", "Tl", "Tl", "Tl", "Tl", "Tl", "Tl", "Tl", "Tl", "Tl"],
  "frac_coords": [[0.1225, 0.4463, 0.3934], [0.6225, 0.0537, 0.6066], [0.8775, 0.5537, 0.8934], [0.3775, 0.9463, 0.1066], [0.8775, 0.5537, 0.6066], [0.3775, 0.9463, 0.3934], [0.1225, 0.4463, 0.1066], [0.6225, 0.0537, 0.8934], [0.5986, 0.2955, 0.2500], [0.0986, 0.2045, 0.7500], [0.4014, 0.7045, 0.7500], [0.9014, 0.7955, 0.2500], [0.8927, 0.0930, 0.4039], [0.3927, 0.4070, 0.5961], [0.1073, 0.9070, 0.9039], [0.6073, 0.5930, 0.0961], [0.1073, 0.9070, 0.5961], [0.6073, 0.5930, 0.4039], [0.8927, 0.0930, 0.0961], [0.3927, 0.4070, 0.9039], [0.0948, 0.1483, 0.2500], [0.5948, 0.3517, 0.7500], [0.9052, 0.8517, 0.7500], [0.4052, 0.6483, 0.2500], [0.6134, 0.3014, 0.4559], [0.1134, 0.1986, 0.5441], [0.3866, 0.6986, 0.9559], [0.8866, 0.8014, 0.0441], [0.3866, 0.6986, 0.5441], [0.8866, 0.8014, 0.4559], [0.6134, 0.3014, 0.0441], [0.1134, 0.1986, 0.9559]]
}

=====

8.
{
  "formula": "La3Sm2Y4",
  "functional": "PBE",
  "state": "optimized geometry",
  "ef_mev_per_atom": 95,
  "spacegroup": "C2/c (15)",
  "relative_energy_ev_per_atom": 0.077,
  "cell": [[5.8852, 1.6413, 1.1751], [2.1681, 11.1641, 0.6469], [2.1681, 4.2096, 10.3602]],
  "species": ["La", "La", "La", "La", "La", "La", "Sm", "Sm", "Sm", "Sm", "Y", "Y", "Y", "Y", "Y", "Y", "Y", "Y"],
  "frac_coords": [[0.7585, 0.0263, 0.3035], [0.7415, 0.6965, 0.9737], [0.2415, 0.9737, 0.6965], [0.2585, 0.3035, 0.0263], [0.2500, 0.6206, 0.3794], [0.7500, 0.3794, 0.6206], [0.4264, 0.2572, 0.5188], [0.0736, 0.4812, 0.7428], [0.5736, 0.7428, 0.4812], [0.9264, 0.5188, 0.2572], [0.4220, 0.9366, 0.1764], [0.0780, 0.8236, 0.0634], [0.5780, 0.0634, 0.8236], [0.9220, 0.1764, 0.9366], [0.0852, 0.1567, 0.3929], [0.4148, 0.6071, 0.8433], [0.9148, 0.8433, 0.6071], [0.5852, 0.3929, 0.1567]]
}

=====

9.
{
  "formula": "TiCuC2",
  "functional": "PBE",
  "state": "optimized geometry",
  "ef_mev_per_atom": 907,
  "spacegroup": "I-42d (122)",
  "relative_energy_ev_per_atom": 0.000,
  "cell": [[4.0575, 0.0000, 0.0000], [0.0000, 4.0575, 0.0000], [2.0287, 2.0287, 5.6528]],
  "species": ["C", "C", "C", "C", "Cu", "Cu", "Ti", "Ti"],
  "frac_coords": [[0.6576, 0.1250, 0.2500], [0.0924, 0.6250, 0.2500], [0.3750, 0.3424, 0.7500], [0.8750, 0.9076, 0.7500], [0.0000, 0.0000, 0.0000], [0.7500, 0.2500, 0.5000], [0.5000, 0.5000, 0.0000], [0.2500, 0.7500, 0.5000]]
}

=====

10.
{
  "formula": "CrSiAu3",
  "functional": "PBE",
  "state": "optimized geometry",
  "raw_formation_energy_ev_per_atom": 0.4292,
  "spacegroup": "Pm-3m (221)",
  "relative_energy_ev_per_atom": 0.000,
  "cell": [[-3.9686, -2.4698, -0.7699], [1.5739, -3.4240, 2.8708], [-2.0531, 2.1491, 3.6889]],
  "species": ["Cr", "Si", "Au", "Au", "Au"],
  "frac_coords": [[0.5000, 0.5000, 0.5000], [0.0000, 0.0000, 0.0000], [0.0000, 0.5000, 0.0000], [0.0000, 0.0000, 0.5000], [0.5000, 0.0000, 0.0000]]
}

=====

11.
{
  "formula": "Na2Cd2I",
  "functional": "PBE",
  "state": "optimized geometry",
  "raw_formation_energy_ev_per_atom": -0.2574,
  "spacegroup": "P4/mbm (127)",
  "cell": [[8.4350, 0.0000, 0.0000], [0.0000, 8.4350, 0.0000], [0.0000, 0.0000, 4.7912]],
  "species": ["I", "I", "Na", "Na", "Na", "Na", "Cd", "Cd", "Cd", "Cd"],
  "frac_coords": [[0.0000, 0.0000, 0.0000], [0.5000, 0.5000, 0.0000], [0.3328, 0.8328, 0.0000], [0.8328, 0.6672, 0.0000], [0.6672, 0.1672, 0.0000], [0.1672, 0.3328, 0.0000], [0.1323, 0.6323, 0.5000], [0.6323, 0.8677, 0.5000], [0.8677, 0.3677, 0.5000], [0.3677, 0.1323, 0.5000]]
}

=====

12.
{
  "formula": "MgTc2W",
  "functional": "PBE",
  "state": "optimized geometry",
  "ef_mev_per_atom": 199,
  "spacegroup": "Pm (6)",
  "cell": [[4.4821, 0.0000, 0.0000], [0.0000, 2.6886, -0.0075], [0.0000, 1.0444, 5.1326]],
  "species": ["Mg", "Tc", "Tc", "W"],
  "frac_coords": [[0.5000, 0.7538, 0.7577], [0.0000, 0.0321, 0.9890], [0.5000, 0.2469, 0.2554], [0.0000, 0.4672, 0.4979]]
}

=====

| no. | magnetic moment (μB per formula unit) | E (eV per cell) |
| --- | --- | --- |
| 1 | 0.00 | -170.663 |
| 2 | 0.31 | -43.196 |
| 3 | 0.00 | -51.182 |
| 4 | 0.00 | -52.830 |
| 5 | 0.16 | -19.899 |
| 6 | 0.01 | -35.569 |
| 7 | 0.00 | -73.198 |
| 8 | 0.00 | -98.447 |
| 9 | 0.00 | -53.619 |
| 10 | 4.74 | -22.732 |
| 11 | 0.00 | -14.611 |
| 12 | 0.00 | -34.483 |